The following is a DFT calculation (PBE-GGA) of a relaxed structure of Li6Tl2Zn.

As for the energy above the lowest structure with this stoichiometry: 0 meV/atom. The space group is No. 189. For the volume, the calculation gives 19.3 Å³ per atom. The formation enthalpy at 0 K comes out at -3.62 kcal/mol of atoms.

Unit cell a=3.1743 b=7.9449 c=7.9450 alpha=120.00 beta=90.00 gamma=90.00
Last column: nearest neighbours and their distance in Å.
Fractional coordinates of all 9 atoms:
Li1 0.0000 0.7144 0.7144  2 Zn 2.77, 2 Tl 2.86, 4 Li 3.09
Li2 0.5000 0.0000 0.6340  1 Zn 2.91, 4 Tl 2.99, 8 Li 3.09-3.19
Li3 0.5000 0.6340 0.0000  1 Zn 2.91, 4 Tl 2.99, 8 Li 3.09-3.19
Li4 0.0000 0.0000 0.2856  2 Zn 2.77, 2 Tl 2.86, 4 Li 3.09
Li5 0.0000 0.2856 0.0000  2 Zn 2.77, 2 Tl 2.86, 4 Li 3.09
Li6 0.5000 0.3660 0.3660  1 Zn 2.91, 4 Tl 2.99, 8 Li 3.09-3.19
Tl1 0.0000 0.3334 0.6667  9 Li 2.86-2.99, 2 Tl 3.17
Tl2 0.0000 0.6667 0.3333  9 Li 2.86-2.99, 2 Tl 3.17
Zn1 0.5000 0.9999 0.0000  9 Li 2.77-2.91

The following is a DFT calculation (PBE-GGA) of a relaxed structure of Mn2AgRh.

The space group is No. 166. For the volume, the calculation gives 15.4 Å³ per atom. The formation enthalpy at 0 K comes out at 4.89 kcal/mol of atoms.

Unit cell a=8.8224 b=8.8224 c=8.8224 alpha=18.68 beta=18.68 gamma=18.68
Last column: nearest neighbours and their distance in Å.
Fractional coordinates of all 4 atoms:
Rh1 0.2500 0.2500 0.2500  6 Mn 2.62, 6 Rh 2.86
Ag1 0.7500 0.7500 0.7500  6 Mn 2.84, 6 Ag 2.86
Mn1 0.5054 0.5054 0.5054  3 Rh 2.62, 3 Ag 2.84, 6 Mn 2.86
Mn2 0.9946 0.9946 0.9946  3 Rh 2.62, 3 Ag 2.84, 6 Mn 2.86

The lowest volume belongs to which entry?
Mn2AgRh

formation enthalpy at 0 K of number 1 (Li6Tl2Zn)?
-3.62 kcal/mol of atoms

Look up the formation enthalpy at 0 K of the first one.
-3.62 kcal/mol of atoms